# 1
# PBE-GGA Zn2OsW, relaxed
data_Zn2OsW
_symmetry_space_group_name_H-M 'F m -3 m'
_symmetry_Int_Tables_number 225
_symmetry_space_group_name_Hall '-F 4 2 3'
_cell_length_a 6.1111
_cell_length_b 6.1111
_cell_length_c 6.1111
_cell_angle_alpha 90.00
_cell_angle_beta 90.00
_cell_angle_gamma 90.00
loop_
_atom_site_label
_atom_site_type_symbol
_atom_site_fract_x
_atom_site_fract_y
_atom_site_fract_z
Zn1 Zn 0.2500 0.2500 0.2500
Os1 Os 0.0000 0.0000 0.0000
W1 W 0.0000 0.0000 0.5000
# Crystal system: cubic
# Final energy, eV/cell: -98.6

# 2
# PBE-GGA Zn2OsW, relaxed
data_Zn2OsW
_symmetry_space_group_name_H-M 'P 4/m m m'
_symmetry_Int_Tables_number 123
_symmetry_space_group_name_Hall '-P 4 2'
_cell_length_a 4.3558
_cell_length_b 4.3558
_cell_length_c 3.0217
_cell_angle_alpha 90.00
_cell_angle_beta 90.00
_cell_angle_gamma 90.00
loop_
_atom_site_label
_atom_site_type_symbol
_atom_site_fract_x
_atom_site_fract_y
_atom_site_fract_z
Zn1 Zn 0.0000 0.5000 0.0000
Os1 Os 0.0000 0.0000 0.5000
W1 W 0.5000 0.5000 0.5000
# Crystal system: tetragonal
# Final energy, eV/cell: -24.5

# 3
# PBE-GGA ZnOsW, relaxed
data_ZnOsW
_symmetry_space_group_name_H-M 'I m m 2'
_symmetry_Int_Tables_number 44
_cell_length_a 2.8550
_cell_length_b 3.7998
_cell_length_c 8.1841
_cell_angle_alpha 90.00
_cell_angle_beta 90.00
_cell_angle_gamma 90.00
loop_
_symmetry_equiv_pos_as_xyz
'x,y,z'
'-x,-y,z'
'-x,y,z'
'x,-y,z'
'x+1/2,y+1/2,z+1/2'
'-x+1/2,-y+1/2,z+1/2'
'-x+1/2,y+1/2,z+1/2'
'x+1/2,-y+1/2,z+1/2'
loop_
_atom_site_label
_atom_site_type_symbol
_atom_site_fract_x
_atom_site_fract_y
_atom_site_fract_z
Zn1 Zn 0.0000 0.0000 0.0000
Os1 Os 0.0000 0.0000 0.3328
W1 W 0.0000 0.0000 0.6721
# Crystal system: orthorhombic
# Final energy, eV/cell: -49.9

# 4
# PBE-GGA Zn2OsW, relaxed
data_Zn2OsW
_symmetry_space_group_name_H-M 'P 1 2/m 1'
_symmetry_Int_Tables_number 10
_cell_length_a 2.7011
_cell_length_b 4.4159
_cell_length_c 5.0550
_cell_angle_alpha 90.00
_cell_angle_beta 99.75
_cell_angle_gamma 90.00
loop_
_symmetry_equiv_pos_as_xyz
'x,y,z'
'-x,-y,-z'
'-x,y,-z'
'x,-y,z'
loop_
_atom_site_label
_atom_site_type_symbol
_atom_site_fract_x
_atom_site_fract_y
_atom_site_fract_z
Zn1 Zn 0.1825 0.0000 0.2506
Os1 Os 0.0000 0.5000 0.5000
W1 W 0.5000 0.5000 0.0000
# Crystal system: monoclinic
# Final energy, eV/cell: -25.5

no.,formation energy (eV/atom),total magnetic moment (Bohr magnetons per cell),calculated density (g/cm3)
1,0.5197,0.0,14.7
2,0.5596,0.0,14.6
3,0.1723,0.0,16.4
4,0.3021,0.0,14.1